First-principles (PBE-GGA) data for crystalline ZrBeIr at its relaxed geometry, as listed in Alexandria via LeMat-Bulk.

## Properties
VASP energy (eV per cell): -43.6
Total magnetic moment (Bohr magnetons per cell): 0.0
Energy relative to the lowest polymorph listed for this composition (meV/atom): 507.2
Energy of formation (eV/atom): -0.226

Unit cell a=5.8459 b=5.4996 c=4.6055 alpha=70.05 beta=62.17 gamma=47.78
Fractional coordinates of all 6 atoms:
1 Zr 0.2400 0.2400 0.7600
2 Zr 0.7600 0.7600 0.2400
3 Be 0.2989 0.7011 0.7011
4 Be 0.7011 0.2989 0.2989
5 Ir 0.2203 0.7797 0.2203
6 Ir 0.7797 0.2203 0.7797

---

First-principles (PBE-GGA) data for crystalline HfZrSc2O at its relaxed geometry, as listed in Alexandria via LeMat-Bulk.

## Properties
VASP energy (eV per cell): -41.7
Total magnetic moment (Bohr magnetons per cell): 0.0
Energy relative to the lowest polymorph listed for this composition (meV/atom): 9.7
Energy relative to the elements, uncorrected (eV per atom): -1.108

Unit cell a=4.4806 b=4.4806 c=4.5846 alpha=90.00 beta=90.00 gamma=90.00
Fractional coordinates of all 5 atoms:
1 Hf 0.0000 0.0000 0.0000
2 Zr 0.5000 0.5000 0.0000
3 Sc 0.0000 0.5000 0.5000
4 Sc 0.5000 0.0000 0.5000
5 O 0.0000 0.0000 0.5000

---

First-principles (PBE-GGA) data for crystalline Ca2Sb4Pd3Pt at its relaxed geometry, as listed in Alexandria via LeMat-Bulk.

## Properties
VASP energy (eV per cell): -49.2
Total magnetic moment (Bohr magnetons per cell): 0.0
Energy relative to the elements, uncorrected (eV per atom): -0.706

Unit cell a=4.6438 b=4.6438 c=10.7426 alpha=90.00 beta=90.00 gamma=90.00
Fractional coordinates of all 10 atoms:
1 Ca 0.0000 0.5000 0.2328
2 Ca 0.5000 0.0000 0.7672
3 Sb 0.0000 0.0000 0.5000
4 Sb 0.0000 0.5000 0.8728
5 Sb 0.5000 0.0000 0.1272
6 Sb 0.5000 0.5000 0.5000
7 Pd 0.0000 0.0000 0.0000
8 Pd 0.0000 0.5000 0.6317
9 Pd 0.5000 0.0000 0.3683
10 Pt 0.5000 0.5000 0.0000

---

First-principles (PBE-GGA) data for crystalline Te3MoRu at its relaxed geometry, as listed in Alexandria via LeMat-Bulk.

## Properties
VASP energy (eV per cell): -23.4
Total magnetic moment (Bohr magnetons per cell): 0.0
Energy relative to the lowest polymorph listed for this composition (meV/atom): 0.0
Energy relative to the elements, uncorrected (eV per atom): 1.232

Unit cell a=5.0753 b=5.0753 c=5.0753 alpha=90.00 beta=90.00 gamma=90.00
Fractional coordinates of all 5 atoms:
1 Te 0.0000 0.0000 0.5000
2 Te 0.0000 0.5000 0.0000
3 Te 0.5000 0.0000 0.0000
4 Mo 0.5000 0.5000 0.5000
5 Ru 0.0000 0.0000 0.0000

---

First-principles (PBE-GGA) data for crystalline GeMoOs3 at its relaxed geometry, as listed in Alexandria via LeMat-Bulk.

## Properties
VASP energy (eV per cell): -40.4
Total magnetic moment (Bohr magnetons per cell): 1.7
Energy relative to the lowest polymorph listed for this composition (meV/atom): 0.0
Energy of formation (eV/atom): 1.753

Unit cell a=4.4644 b=4.4644 c=4.4644 alpha=90.00 beta=90.00 gamma=90.00
Fractional coordinates of all 5 atoms:
1 Ge 0.0000 0.0000 0.0000
2 Mo 0.5000 0.5000 0.5000
3 Os 0.0000 0.0000 0.5000
4 Os 0.0000 0.5000 0.0000
5 Os 0.5000 0.0000 0.0000

---

First-principles (PBE-GGA) data for crystalline KHg3 at its relaxed geometry, as listed in Alexandria via LeMat-Bulk.

## Properties
VASP energy (eV per cell): -5.8
Total magnetic moment (Bohr magnetons per cell): 0.0
Energy of formation (eV/atom): -0.225

Unit cell a=7.1895 b=7.1895 c=5.5610 alpha=90.00 beta=90.00 gamma=120.00
Fractional coordinates of all 8 atoms:
1 K 0.3333 0.6667 0.2500
2 K 0.6667 0.3333 0.7500
3 Hg 0.1534 0.3068 0.7500
4 Hg 0.1534 0.8466 0.7500
5 Hg 0.3068 0.1534 0.2500
6 Hg 0.6932 0.8466 0.7500
7 Hg 0.8466 0.1534 0.2500
8 Hg 0.8466 0.6932 0.2500

---

First-principles (PBE-GGA) data for crystalline ThMg2Pb at its relaxed geometry, as listed in Alexandria via LeMat-Bulk.

## Properties
VASP energy (eV per cell): -15.0
Total magnetic moment (Bohr magnetons per cell): 0.0
Energy relative to the lowest polymorph listed for this composition (meV/atom): 0.0
Energy of formation (eV/atom): -0.162

Unit cell a=4.6883 b=4.6883 c=4.9086 alpha=90.00 beta=90.00 gamma=90.00
Fractional coordinates of all 4 atoms:
1 Th 0.0000 0.0000 0.0000
2 Mg 0.0000 0.5000 0.5000
3 Mg 0.5000 0.0000 0.5000
4 Pb 0.5000 0.5000 0.0000

---

First-principles (PBE-GGA) data for crystalline YCdNi5 at its relaxed geometry, as listed in Alexandria via LeMat-Bulk.

## Properties
VASP energy (eV per cell): -152.0
Total magnetic moment (Bohr magnetons per cell): 3.5
Energy of formation (eV/atom): -0.244

Unit cell a=8.1072 b=4.8412 c=10.3074 alpha=90.00 beta=90.00 gamma=90.00
Fractional coordinates of all 28 atoms:
1 Y 0.2474 0.2500 0.0609
2 Y 0.2526 0.7500 0.5609
3 Y 0.7474 0.2500 0.4391
4 Y 0.7526 0.7500 0.9391
5 Cd 0.1364 0.7500 0.8638
6 Cd 0.3636 0.2500 0.3638
7 Cd 0.6364 0.7500 0.6362
8 Cd 0.8636 0.2500 0.1362
9 Ni 0.0472 0.7500 0.1099
10 Ni 0.0680 0.0000 0.3130
11 Ni 0.0680 0.5000 0.3130
12 Ni 0.0806 0.2500 0.5166
13 Ni 0.1884 0.2500 0.7393
14 Ni 0.3116 0.7500 0.2393
15 Ni 0.4194 0.7500 0.0166
16 Ni 0.4320 0.0000 0.8130
17 Ni 0.4320 0.5000 0.8130
18 Ni 0.4528 0.2500 0.6099
19 Ni 0.5472 0.7500 0.3901
20 Ni 0.5680 0.0000 0.1870
21 Ni 0.5680 0.5000 0.1870
22 Ni 0.5806 0.2500 0.9834
23 Ni 0.6884 0.2500 0.7607
24 Ni 0.8116 0.7500 0.2607
25 Ni 0.9194 0.7500 0.4834
26 Ni 0.9320 0.0000 0.6870
27 Ni 0.9320 0.5000 0.6870
28 Ni 0.9528 0.2500 0.8901

---

First-principles (PBE-GGA) data for crystalline BaNdDy at its relaxed geometry, as listed in Alexandria via LeMat-Bulk.

## Properties
VASP energy (eV per cell): -10.8
Total magnetic moment (Bohr magnetons per cell): 0.0
Energy relative to the lowest polymorph listed for this composition (meV/atom): 11.8
Energy of formation (eV/atom): 0.171

Unit cell a=3.8066 b=3.8066 c=9.4748 alpha=90.00 beta=90.00 gamma=120.00
Fractional coordinates of all 3 atoms:
1 Ba 0.0000 0.0000 0.0000
2 Nd 0.3333 0.6667 0.6397
3 Dy 0.6667 0.3333 0.3486

---

First-principles (PBE-GGA) data for crystalline SnTe2N2 at its relaxed geometry, as listed in Alexandria via LeMat-Bulk.

## Properties
VASP energy (eV per cell): -20.3
Total magnetic moment (Bohr magnetons per cell): 0.1
Energy relative to the lowest polymorph listed for this composition (meV/atom): 1373.9
Energy relative to the elements, uncorrected (eV per atom): 1.325

Unit cell a=4.1591 b=4.1591 c=7.2439 alpha=90.00 beta=90.00 gamma=90.00
Fractional coordinates of all 5 atoms:
1 Sn 0.0000 0.0000 0.0000
2 Te 0.0000 0.0000 0.5000
3 Te 0.5000 0.5000 0.5000
4 N 0.0000 0.5000 0.0000
5 N 0.5000 0.0000 0.0000

---

First-principles (PBE-GGA) data for crystalline MgB4O7 at its relaxed geometry, as listed in Alexandria via LeMat-Bulk.

## Properties
VASP energy (eV per cell): -185.4
Total magnetic moment (Bohr magnetons per cell): 0.0
Energy relative to the lowest polymorph listed for this composition (meV/atom): 48.9
Energy relative to the elements, uncorrected (eV per atom): -2.474

Unit cell a=6.3661 b=6.3661 c=5.1872 alpha=90.00 beta=90.00 gamma=62.22
Fractional coordinates of all 24 atoms:
1 Mg 0.2296 0.7704 0.7500
2 Mg 0.7704 0.2296 0.2500
3 B 0.0791 0.6859 0.2500
4 B 0.2969 0.2969 0.0000
5 B 0.2969 0.2969 0.5000
6 B 0.3141 0.9209 0.2500
7 B 0.6859 0.0791 0.7500
8 B 0.7031 0.7031 0.0000
9 B 0.7031 0.7031 0.5000
10 B 0.9209 0.3141 0.7500
11 O 0.0832 0.9168 0.2500
12 O 0.1906 0.5531 0.0209
13 O 0.1906 0.5531 0.4791
14 O 0.1945 0.2435 0.7500
15 O 0.2435 0.1945 0.2500
16 O 0.4469 0.8094 0.0209
17 O 0.4469 0.8094 0.4791
18 O 0.5531 0.1906 0.5209
19 O 0.5531 0.1906 0.9791
20 O 0.7565 0.8055 0.7500
21 O 0.8055 0.7565 0.2500
22 O 0.8094 0.4469 0.5209
23 O 0.8094 0.4469 0.9791
24 O 0.9168 0.0832 0.7500

---

First-principles (PBE-GGA) data for crystalline MoW2Br at its relaxed geometry, as listed in Alexandria via LeMat-Bulk.

## Properties
VASP energy (eV per cell): -35.5
Total magnetic moment (Bohr magnetons per cell): 0.0
Energy relative to the lowest polymorph listed for this composition (meV/atom): 198.8
Energy relative to the elements, uncorrected (eV per atom): 0.731

Unit cell a=3.0873 b=3.0873 c=7.1363 alpha=90.00 beta=90.00 gamma=90.00
Fractional coordinates of all 4 atoms:
1 Mo 0.0000 0.0000 0.0000
2 W 0.5000 0.5000 0.2254
3 W 0.5000 0.5000 0.7746
4 Br 0.0000 0.0000 0.5000

---

What is the formula in the fifth record? GeMoOs3

---

What did the twelfth record say?
First-principles (PBE-GGA) data for crystalline MoW2Br at its relaxed geometry, as listed in Alexandria via LeMat-Bulk.

## Properties
VASP energy (eV per cell): -35.5
Total magnetic moment (Bohr magnetons per cell): 0.0
Energy relative to the lowest polymorph listed for this composition (meV/atom): 198.8
Energy relative to the elements, uncorrected (eV per atom): 0.731

Unit cell a=3.0873 b=3.0873 c=7.1363 alpha=90.00 beta=90.00 gamma=90.00
Fractional coordinates of all 4 atoms:
1 Mo 0.0000 0.0000 0.0000
2 W 0.5000 0.5000 0.2254
3 W 0.5000 0.5000 0.7746
4 Br 0.0000 0.0000 0.5000

---

What is the total magnetic moment in the seventh record? 0.0 Bohr magnetons per cell